The following is a PBE calculation of an optimized crystal structure of Hf3Ni4Bi4, from the Open Quantum Materials Database.

Summary:
Distance to the lowest polymorph of the same formula (eV/atom): 0.1115
Space-group type: No. 6

Cell: 7.2670 4.1786 7.4770 Å, 90.00 93.93 90.00°
Element x y z (fractional)
Ni1 0.2633 0.2500 0.4058
Ni2 0.7228 0.7500 0.5755
Ni3 0.4048 0.7500 0.9336
Ni4 0.5904 0.2500 0.0654
Bi1 0.2158 0.2500 0.0381
Bi2 0.7867 0.2500 0.3872
Bi3 0.7741 0.7500 0.9245
Bi4 0.1971 0.7500 0.6236
Hf1 0.5214 0.2500 0.7005
Hf2 0.0407 0.7500 0.2537
Hf3 0.4810 0.7500 0.2894